A | A plane-wave DFT calculation with PBE-GGA was carried out for a relaxed structure of Sr3Ag2Sn4.

Size of the total moment = 0.0 μB/f.u.

Geometry as CIF:
```
data_Sr3Ag2Sn4
_symmetry_space_group_name_H-M 'P 1'
_symmetry_Int_Tables_number 1
_symmetry_space_group_name_Hall 'P 1'
_cell_length_a 4.848
_cell_length_b 6.631
_cell_length_c 9.454
_cell_angle_alpha 104.30
_cell_angle_beta 90.00
_cell_angle_gamma 111.44
loop_
_atom_site_label
_atom_site_type_symbol
_atom_site_fract_x
_atom_site_fract_y
_atom_site_fract_z
Sr1 Sr 0.668 0.335 0.665
Sr2 Sr 0.000 0.000 0.000
Sr3 Sr 0.332 0.665 0.335
Ag1 Ag 0.394 0.788 0.721
Ag2 Ag 0.606 0.212 0.279
Sn1 Sn 0.304 0.608 0.962
Sn2 Sn 0.064 0.129 0.396
Sn3 Sn 0.936 0.871 0.604
Sn4 Sn 0.696 0.392 0.038
```

=====

B | A plane-wave DFT calculation with PBE-GGA was carried out for a relaxed structure of Sr3Ag2Sn4.

Size of the total moment = 0.0 μB/f.u.

Geometry as CIF:
```
data_Sr3Ag2Sn4
_symmetry_space_group_name_H-M 'P 1'
_symmetry_Int_Tables_number 1
_symmetry_space_group_name_Hall 'P 1'
_cell_length_a 4.881
_cell_length_b 6.454
_cell_length_c 9.404
_cell_angle_alpha 102.78
_cell_angle_beta 90.00
_cell_angle_gamma 112.22
loop_
_atom_site_label
_atom_site_type_symbol
_atom_site_fract_x
_atom_site_fract_y
_atom_site_fract_z
Sn1 Sn 0.708 0.417 0.068
Sn2 Sn 0.086 0.172 0.408
Sn3 Sn 0.292 0.583 0.932
Sn4 Sn 0.914 0.828 0.592
Sr1 Sr 0.626 0.251 0.694
Sr2 Sr 0.374 0.749 0.306
Sr3 Sr 0.000 0.000 0.000
Ag1 Ag 0.691 0.382 0.366
Ag2 Ag 0.309 0.618 0.634
```

=====

Q: Which of them is the least stable? A: A.

=====

A | A plane-wave DFT calculation with PBE-GGA was carried out for a relaxed structure of SrAg3Sn2.

Size of the total moment = 0.0 μB/f.u.

Geometry as CIF:
```
data_SrAg3Sn2
_symmetry_space_group_name_H-M 'P 1'
_symmetry_Int_Tables_number 1
_symmetry_space_group_name_Hall 'P 1'
_cell_length_a 4.792
_cell_length_b 9.960
_cell_length_c 7.097
_cell_angle_alpha 118.32
_cell_angle_beta 90.00
_cell_angle_gamma 103.92
loop_
_atom_site_label
_atom_site_type_symbol
_atom_site_fract_x
_atom_site_fract_y
_atom_site_fract_z
Ag1 Ag 0.930 0.860 0.526
Ag2 Ag 0.696 0.391 0.472
Ag3 Ag 0.367 0.735 0.242
Ag4 Ag 0.070 0.140 0.474
Ag5 Ag 0.304 0.609 0.528
Ag6 Ag 0.633 0.265 0.758
Sr1 Sr 0.118 0.236 0.071
Sr2 Sr 0.882 0.764 0.929
Sn1 Sn 0.233 0.466 0.792
Sn2 Sn 0.483 0.966 0.759
Sn3 Sn 0.767 0.534 0.208
Sn4 Sn 0.517 0.034 0.241
```

=====

B | A plane-wave DFT calculation with PBE-GGA was carried out for a relaxed structure of SrAg3Sn2.

Size of the total moment = 0.0 μB/f.u.

Geometry as CIF:
```
data_SrAg3Sn2
_symmetry_space_group_name_H-M 'P 1'
_symmetry_Int_Tables_number 1
_symmetry_space_group_name_Hall 'P 1'
_cell_length_a 4.819
_cell_length_b 8.859
_cell_length_c 8.858
_cell_angle_alpha 55.64
_cell_angle_beta 74.22
_cell_angle_gamma 74.22
loop_
_atom_site_label
_atom_site_type_symbol
_atom_site_fract_x
_atom_site_fract_y
_atom_site_fract_z
Ag1 Ag 0.683 0.107 0.527
Ag2 Ag 0.000 0.665 0.334
Ag3 Ag 0.000 0.335 0.666
Ag4 Ag 0.317 0.893 0.473
Ag5 Ag 0.317 0.473 0.893
Ag6 Ag 0.683 0.527 0.107
Sn1 Sn 0.500 0.823 0.177
Sn2 Sn 0.820 0.680 0.680
Sn3 Sn 0.500 0.177 0.823
Sn4 Sn 0.180 0.320 0.320
Sr1 Sr 0.864 0.136 0.136
Sr2 Sr 0.136 0.864 0.864
```

=====

Q: Which of them is the least stable? A: B.

=====

A | A plane-wave DFT calculation with PBE-GGA was carried out for a relaxed structure of Sr3Ag3Sn.

Size of the total moment = 0.0 μB/f.u.

Geometry as CIF:
```
data_Sr3Ag3Sn
_symmetry_space_group_name_H-M 'P 1'
_symmetry_Int_Tables_number 1
_symmetry_space_group_name_Hall 'P 1'
_cell_length_a 5.019
_cell_length_b 10.027
_cell_length_c 10.027
_cell_angle_alpha 120.00
_cell_angle_beta 90.00
_cell_angle_gamma 90.00
loop_
_atom_site_label
_atom_site_type_symbol
_atom_site_fract_x
_atom_site_fract_y
_atom_site_fract_z
Ag1 Ag 0.250 0.860 0.817
Ag2 Ag 0.750 0.043 0.860
Ag3 Ag 0.750 0.140 0.183
Ag4 Ag 0.250 0.957 0.140
Ag5 Ag 0.250 0.183 0.043
Ag6 Ag 0.750 0.817 0.957
Sr1 Sr 0.750 0.678 0.577
Sr2 Sr 0.750 0.899 0.322
Sr3 Sr 0.250 0.322 0.423
Sr4 Sr 0.750 0.423 0.101
Sr5 Sr 0.250 0.101 0.678
Sr6 Sr 0.250 0.577 0.899
Sn1 Sn 0.250 0.667 0.333
Sn2 Sn 0.750 0.333 0.667
```

=====

B | A plane-wave DFT calculation with PBE-GGA was carried out for a relaxed structure of Sr3Ag3Sn.

Size of the total moment = 0.0 μB/f.u.

Geometry as CIF:
```
data_Sr3Ag3Sn
_symmetry_space_group_name_H-M 'P 1'
_symmetry_Int_Tables_number 1
_symmetry_space_group_name_Hall 'P 1'
_cell_length_a 4.786
_cell_length_b 6.399
_cell_length_c 15.396
_cell_angle_alpha 85.39
_cell_angle_beta 81.06
_cell_angle_gamma 68.04
loop_
_atom_site_label
_atom_site_type_symbol
_atom_site_fract_x
_atom_site_fract_y
_atom_site_fract_z
Sr1 Sr 0.460 0.690 0.389
Sr2 Sr 0.605 0.714 0.077
Sr3 Sr 0.540 0.310 0.611
Sr4 Sr 0.395 0.286 0.923
Sr5 Sr 0.248 0.272 0.231
Sr6 Sr 0.752 0.728 0.769
Ag1 Ag 0.893 0.138 0.076
Ag2 Ag 0.133 0.275 0.460
Ag3 Ag 0.039 0.152 0.770
Ag4 Ag 0.867 0.725 0.540
Ag5 Ag 0.961 0.848 0.230
Ag6 Ag 0.107 0.862 0.924
Sn1 Sn 0.752 0.108 0.388
Sn2 Sn 0.248 0.892 0.612
```

=====

Q: Which of them is the least stable? A: A.

=====

A | A plane-wave DFT calculation with PBE-GGA was carried out for a relaxed structure of Sr2Ag5Sn3.

Size of the total moment = 0.0 μB/f.u.

Geometry as CIF:
```
data_Sr2Ag5Sn3
_symmetry_space_group_name_H-M 'P 1'
_symmetry_Int_Tables_number 1
_symmetry_space_group_name_Hall 'P 1'
_cell_length_a 4.846
_cell_length_b 4.846
_cell_length_c 11.355
_cell_angle_alpha 90.00
_cell_angle_beta 90.00
_cell_angle_gamma 90.00
loop_
_atom_site_label
_atom_site_type_symbol
_atom_site_fract_x
_atom_site_fract_y
_atom_site_fract_z
Ag1 Ag 0.500 0.000 0.885
Ag2 Ag 0.500 0.500 0.000
Ag3 Ag 0.000 0.000 0.000
Ag4 Ag 0.000 0.500 0.115
Ag5 Ag 0.500 0.500 0.500
Sr1 Sr 0.500 0.000 0.227
Sr2 Sr 0.000 0.500 0.773
Sn1 Sn 0.000 0.000 0.500
Sn2 Sn 0.500 0.000 0.648
Sn3 Sn 0.000 0.500 0.352
```

=====

B | A plane-wave DFT calculation with PBE-GGA was carried out for a relaxed structure of Sr2Ag5Sn3.

Size of the total moment = 0.0 μB/f.u.

Geometry as CIF:
```
data_Sr2Ag5Sn3
_symmetry_space_group_name_H-M 'P 1'
_symmetry_Int_Tables_number 1
_symmetry_space_group_name_Hall 'P 1'
_cell_length_a 6.693
_cell_length_b 9.377
_cell_length_c 9.377
_cell_angle_alpha 77.59
_cell_angle_beta 69.09
_cell_angle_gamma 69.09
loop_
_atom_site_label
_atom_site_type_symbol
_atom_site_fract_x
_atom_site_fract_y
_atom_site_fract_z
Sn1 Sn 0.635 0.489 0.242
Sn2 Sn 0.365 0.511 0.758
Sn3 Sn 0.135 0.242 0.489
Sn4 Sn 0.750 0.000 0.000
Sn5 Sn 0.865 0.758 0.511
Sn6 Sn 0.250 0.000 0.000
Sr1 Sr 0.625 0.137 0.614
Sr2 Sr 0.375 0.863 0.386
Sr3 Sr 0.875 0.386 0.863
Sr4 Sr 0.125 0.614 0.137
Ag1 Ag 0.984 0.766 0.766
Ag2 Ag 0.016 0.234 0.234
Ag3 Ag 0.516 0.234 0.234
Ag4 Ag 0.116 0.031 0.738
Ag5 Ag 0.884 0.969 0.262
Ag6 Ag 0.616 0.738 0.031
Ag7 Ag 0.384 0.262 0.969
Ag8 Ag 0.750 0.500 0.500
Ag9 Ag 0.484 0.766 0.766
Ag10 Ag 0.250 0.500 0.500
```

=====

Q: Which of them is the least stable? A: A.